RbMgCoMo | PBE | relaxed

Cell lengths 7.030, 7.030, 7.030 Å; angles 90.00, 90.00, 90.00 degrees
Space group F-43m (No. 216)
Asymmetric unit:
Rb (0.000, 0.000, 0.000)
Mg (0.000, 0.000, 0.500)
Co (0.250, 0.250, 0.750)
Mo (0.250, 0.250, 0.250)

The excess energy over the best structure of this formula in the dataset comes out at 0.76 eV per formula unit. The calculation puts the total moment at 17.653 μB per cell.


SiMo4PbN2 | PBE | relaxed

Cell lengths 3.3014, 3.3014, 12.3124 Å; angles 90.00, 90.00, 120.00 degrees
Space group P-6m2 (No. 187)
Asymmetric unit:
Si (0.0000, 0.0000, 0.0000)
Mo (0.0000, 0.0000, 0.3010)
Mo (0.3333, 0.6667, 0.1366)
Pb (0.3333, 0.6667, 0.5000)
N (0.6667, 0.3333, 0.2472)

Its final energy is -69.18 eV per cell. The calculation puts the total moment at 0.007 μB per cell.


TlSnTeAuSe2 | PBE | relaxed

Cell lengths 3.958, 15.581, 11.330 Å; angles 90.00, 90.00, 90.00 degrees
Space group Cmcm (No. 63)
Asymmetric unit:
Tl (0.000, 0.224, 0.250)
Sn (0.000, 0.500, 0.000)
Te (0.000, 0.447, 0.750)
Au (0.000, 0.125, 0.750)
Se (0.000, 0.127, 0.531)

Its final energy is -84.21 eV per cell.